{"formula": "Al2CoPb", "functional": "PBE", "state": "optimized geometry", "lattice_angstrom": [[4.1479, 0.0000, 0.0000], [0.0000, 4.1479, 0.0000], [0.0000, 0.0000, 8.1603]], "species": ["Al", "Al", "Al", "Al", "Co", "Co", "Pb", "Pb"], "fractional_positions": [[0.0000, 0.0000, 0.0000], [0.0000, 0.5000, 0.2500], [0.5000, 0.0000, 0.7500], [0.5000, 0.5000, 0.5000], [0.0000, 0.0000, 0.5000], [0.5000, 0.5000, 0.0000], [0.0000, 0.5000, 0.7500], [0.5000, 0.0000, 0.2500]], "total_energy_ev_per_cell": -33.66, "sg": "No. 119", "m_tot_mub_per_cell": 2.2, "formation_energy_ev_per_atom": 0.37, "volume_a3_per_atom": 17.55}